4
Lattice="3.9363 0.0000 0.0000 0.0000 3.9363 0.0000 0.0000 0.0000 5.3575" Properties=species:S:1:pos:R:3 comment="K2CoIr | the Alexandria database | PBE-GGA | optimized geometry" formation_enthalpy_0k_ev_per_atom=1.067 sg="No. 123" pbc="T T T"
K 0.0000 1.9682 0.0000
K 1.9682 0.0000 0.0000
Co 0.0000 0.0000 2.6787
Ir 1.9682 1.9682 2.6787